4
Lattice="-2.6812 -1.1709 -7.2690 0.7250 -3.0844 -7.1665 -2.4966 -4.7499 -5.7099" Properties=species:S:1:pos:R:3 comment="CaSi2Sb PBE-GGA optimized geometry" dos_at_fermi_per_ev_cell=2.62 total_magnetization_mub_per_fu=0.00 formation_energy_uncorrected_ev_per_atom=0.1631 pbc="T T T"
Ca -1.1132 -2.2513 -5.0364
Si -0.0523 -0.1058 -0.2367
Sb -3.3396 -6.7539 -15.1091
Si -2.1741 -4.3968 -9.8360